Here is a geometry-optimized ZnAgSeO structure from the Open Quantum Materials Database. Energies are from PBE.

## Properties
Distance to the lowest polymorph of the same formula   110 meV per atom

Geometry as POSCAR:
```
ZnAgSeO
1.0
-1.476 0.974 6.075
-5.656 -0.497 -1.294
0.372 -7.664 1.320
Ag O Se Zn
4 4 4 4
direct
0.258 0.268 0.015
0.742 0.768 0.485
0.242 0.732 0.515
0.758 0.232 0.985
0.516 0.114 0.162
0.484 0.614 0.338
0.984 0.886 0.662
0.016 0.386 0.838
0.022 0.910 0.130
0.978 0.410 0.370
0.478 0.090 0.630
0.522 0.590 0.870
0.424 0.793 0.131
0.576 0.293 0.369
0.076 0.207 0.631
0.924 0.707 0.869
```